[1]
! B5C7, optimized geometry, DFT PBE; values from VASP
&SYSTEM
  ibrav = 0, nat = 12, ntyp = 2
/
ATOMIC_SPECIES
B 10.81 B.upf
C 12.01 C.upf
ATOMIC_POSITIONS angstrom
B 0.000 0.000 0.000
B 0.541 1.262 5.784
B 1.426 0.000 3.660
B 2.056 1.262 6.769
B 2.927 0.000 5.765
C 0.559 1.262 4.244
C 1.437 0.000 2.030
C 2.181 1.262 1.534
C 2.948 0.000 4.187
C 3.645 1.262 3.652
C 3.677 1.262 2.079
C 4.427 0.000 1.572
CELL_PARAMETERS angstrom
4.502 0.000 0.000
0.000 2.523 0.000
-0.090 0.000 6.842
! Excess energy over the best structure of this formula in the dataset   87 meV/atom
! SG   Pm (6)
! Formation energy   399.4 kJ/mol of formula units
! E_tot   -7.82 eV/atom

=====

[2]
! Pr2In3Au, optimized geometry, DFT PBE; values from VASP
&SYSTEM
  ibrav = 0, nat = 6, ntyp = 3
/
ATOMIC_SPECIES
Pr 140.91 Pr.upf
In 114.82 In.upf
Au 196.97 Au.upf
ATOMIC_POSITIONS angstrom
Pr 0.000 0.000 0.000
Pr 0.000 2.460 4.108
In 1.902 0.000 5.534
In 1.902 2.460 1.385
In 1.902 2.460 7.037
Au 1.902 0.000 2.734
CELL_PARAMETERS angstrom
3.804 0.000 0.000
0.000 4.920 0.000
0.000 0.000 8.540
! Excess energy over the best structure of this formula in the dataset   0 meV/atom
! SG   Pmm2 (25)
! Formation energy   -335.1 kJ/mol of formula units
! E_tot   -4.09 eV/atom

=====

[3]
! CoW2Cl, optimized geometry, DFT PBE; values from VASP
&SYSTEM
  ibrav = 0, nat = 4, ntyp = 3
/
ATOMIC_SPECIES
Co 58.93 Co.upf
W 183.84 W.upf
Cl 35.45 Cl.upf
ATOMIC_POSITIONS angstrom
Co 0.000 0.000 0.000
W 1.446 1.446 1.587
W 1.446 1.446 5.201
Cl 0.000 0.000 3.394
CELL_PARAMETERS angstrom
2.891 0.000 0.000
0.000 2.891 0.000
0.000 0.000 6.788
! Excess energy over the best structure of this formula in the dataset   282 meV/atom
! SG   P4/mmm (123)
! E_tot   -8.06 eV/atom

=====

[4]
! SiB3, optimized geometry, DFT PBE; values from VASP
&SYSTEM
  ibrav = 0, nat = 4, ntyp = 2
/
ATOMIC_SPECIES
Si 28.09 Si.upf
B 10.81 B.upf
ATOMIC_POSITIONS angstrom
Si 0.000 0.000 0.000
B 0.000 1.499 3.993
B 1.188 0.000 1.701
B 1.188 1.499 2.641
CELL_PARAMETERS angstrom
2.377 0.000 0.000
0.000 2.998 0.000
0.000 0.000 5.368
! Excess energy over the best structure of this formula in the dataset   559 meV/atom
! SG   Pmm2 (25)
! E_tot   -5.85 eV/atom

=====

[5]
! RuAu3, optimized geometry, DFT PBE; values from VASP
&SYSTEM
  ibrav = 0, nat = 16, ntyp = 2
/
ATOMIC_SPECIES
Ru 101.07 Ru.upf
Au 196.97 Au.upf
ATOMIC_POSITIONS angstrom
Ru 0.365 2.391 0.920
Ru 2.065 7.173 3.861
Ru 2.794 2.391 2.020
Ru 4.494 7.173 4.960
Au 0.361 2.391 3.690
Au 1.179 4.795 5.168
Au 1.179 9.551 5.168
Au 1.251 0.013 2.227
Au 1.251 4.769 2.227
Au 2.069 7.173 0.750
Au 2.790 2.391 5.131
Au 3.608 4.795 3.653
Au 3.608 9.551 3.653
Au 3.680 0.013 0.713
Au 3.680 4.769 0.713
Au 4.499 7.173 2.190
CELL_PARAMETERS angstrom
4.859 0.000 0.000
0.000 9.564 0.000
0.000 0.000 5.881
! SG   Pnma (62)
! Formation energy   113.7 kJ/mol of formula units
! E_tot   -4.48 eV/atom

=====

[6]
! Pr2Sm8Dy3, optimized geometry, DFT PBE; values from VASP
&SYSTEM
  ibrav = 0, nat = 13, ntyp = 3
/
ATOMIC_SPECIES
Pr 140.91 Pr.upf
Sm 150.36 Sm.upf
Dy 162.50 Dy.upf
ATOMIC_POSITIONS angstrom
Pr 5.013 0.000 5.658
Pr 15.813 0.000 0.002
Sm 2.693 0.000 2.829
Sm 8.249 1.602 5.660
Sm 6.959 0.000 2.829
Sm 12.577 1.602 0.000
Sm 8.249 -1.602 5.660
Sm 13.867 0.000 2.832
Sm 12.577 -1.602 0.000
Sm 18.133 0.000 2.831
Dy 0.000 0.000 0.000
Dy 10.413 1.645 2.830
Dy 10.413 -1.645 2.830
CELL_PARAMETERS angstrom
10.413 -3.852 0.000
10.413 3.852 0.000
-0.001 0.000 5.661
! Excess energy over the best structure of this formula in the dataset   198 meV/atom
! SG   C2/m (12)
! Formation energy   271.0 kJ/mol of formula units
! E_tot   -4.49 eV/atom

=====

| no. | total moment (μB per formula unit) | theoretical density (g/cm3) | volume (Å³ per atom) |
| --- | --- | --- | --- |
| 1 | 0.00 | 2.95 | 6.477 |
| 2 | 0.00 | 8.55 | 26.641 |
| 3 | 1.19 | 13.52 | 14.186 |
| 4 | 0.00 | 2.63 | 9.563 |
| 5 | 0.00 | 16.82 | 17.081 |
| 6 | 0.00 | 7.21 | 34.937 |